# 1
VASP calculation (PBE) on a relaxed structure of HfSc2ReN.

ΔE_f (raw) ... -0.47 eV/atom

```
data_HfSc2ReN
_chemical_formula_sum 'Hf1 Sc2 Re1 N1'
_space_group_name_H-M_alt 'P 4/m m m'
_space_group_IT_number 123
_space_group_name_Hall '-P 4 2'
_cell_length_a 4.541
_cell_length_b 4.541
_cell_length_c 4.029
_cell_angle_alpha 90.00
_cell_angle_beta 90.00
_cell_angle_gamma 90.00
loop_
_atom_site_label
_atom_site_type_symbol
_atom_site_fract_x
_atom_site_fract_y
_atom_site_fract_z
Hf1 Hf 0.000 0.000 0.000
Sc1 Sc 0.000 0.500 0.500
Re1 Re 0.500 0.500 0.000
N1 N 0.500 0.500 0.500
```

***

# 2
VASP calculation (PBE) on a relaxed structure of TaIn2As.

Formation energy from the elements ... 0.09 eV per atom

```
data_TaIn2As
_chemical_formula_sum 'Ta2 In4 As2'
_space_group_name_H-M_alt 'C m m 2'
_space_group_IT_number 35
_cell_length_a 3.789
_cell_length_b 4.998
_cell_length_c 9.404
_cell_angle_alpha 90.00
_cell_angle_beta 90.00
_cell_angle_gamma 90.00
loop_
_space_group_symop_operation_xyz
'x,y,z'
'-x,-y,z'
'-x,y,z'
'x,-y,z'
'x+1/2,y+1/2,z'
'-x+1/2,-y+1/2,z'
'-x+1/2,y+1/2,z'
'x+1/2,-y+1/2,z'
loop_
_atom_site_label
_atom_site_type_symbol
_atom_site_fract_x
_atom_site_fract_y
_atom_site_fract_z
Ta1 Ta 0.000 0.000 0.000
In1 In 0.000 0.000 0.482
In2 In 0.000 0.500 0.760
As1 As 0.000 0.500 0.188
```

***

# 3
VASP calculation (PBE) on a relaxed structure of Y4Zn3Au.

Formation energy from the elements ... -0.49 eV per atom

```
data_Y4Zn3Au
_chemical_formula_sum 'Y4 Zn3 Au1'
_space_group_name_H-M_alt 'P 4/m m m'
_space_group_IT_number 123
_space_group_name_Hall '-P 4 2'
_cell_length_a 3.600
_cell_length_b 3.600
_cell_length_c 14.245
_cell_angle_alpha 90.00
_cell_angle_beta 90.00
_cell_angle_gamma 90.00
loop_
_atom_site_label
_atom_site_type_symbol
_atom_site_fract_x
_atom_site_fract_y
_atom_site_fract_z
Y1 Y 0.000 0.000 0.124
Y2 Y 0.000 0.000 0.374
Zn1 Zn 0.500 0.500 0.000
Zn2 Zn 0.500 0.500 0.246
Au1 Au 0.500 0.500 0.500
```

***

# 4
VASP calculation (PBE) on a relaxed structure of MgAlCl5.

ΔE_f (raw) ... -1.61 eV/atom

```
data_MgAlCl5
_chemical_formula_sum 'Mg4 Al4 Cl20'
_space_group_name_H-M_alt 'C 1 2/c 1'
_space_group_IT_number 15
_cell_length_a 9.768
_cell_length_b 9.868
_cell_length_c 9.236
_cell_angle_alpha 90.00
_cell_angle_beta 118.34
_cell_angle_gamma 90.00
loop_
_space_group_symop_operation_xyz
'x,y,z'
'-x,-y,-z'
'-x,y,-z+1/2'
'x,-y,z+1/2'
'x+1/2,y+1/2,z'
'-x+1/2,-y+1/2,-z'
'-x+1/2,y+1/2,-z+1/2'
'x+1/2,-y+1/2,z+1/2'
loop_
_atom_site_label
_atom_site_type_symbol
_atom_site_fract_x
_atom_site_fract_y
_atom_site_fract_z
Mg1 Mg 0.000 0.000 0.000
Al1 Al 0.000 0.380 0.250
Cl1 Cl 0.000 0.068 0.750
Cl2 Cl 0.008 0.262 0.451
Cl3 Cl 0.196 0.481 0.844
```